Here is a geometry-optimized PrCrAsO5 structure from Alexandria. Energies are from PBE+U.

a = 7.221 Å, b = 7.221 Å, c = 6.036 Å
α = 114.68°, β = 114.68°, γ = 101.40°
Fractional positions:
Pr1 0.000 0.500 0.000
Pr2 0.500 0.000 0.500
Cr1 0.087 0.913 0.750
Cr2 0.913 0.087 0.250
As1 0.497 0.503 0.250
As2 0.503 0.497 0.750
O1 0.177 0.822 0.502
O2 0.178 0.823 0.998
O3 0.198 0.233 0.965
O4 0.233 0.198 0.465
O5 0.354 0.646 0.750
O6 0.646 0.354 0.250
O7 0.767 0.802 0.535
O8 0.802 0.767 0.035
O9 0.822 0.177 0.002
O10 0.823 0.178 0.498

**Calculated volume**: 14.50 Å³ per atom
**Crystal system**: monoclinic
**SG**: C2/c, No. 15
**Energy**: -6.753 eV/atom
**Spin magnetization**: 2.000 μB/f.u.